{
  "formula": "Zr3VO",
  "functional": "GGA+U",
  "state": "relaxed",
  "lattice_angstrom": [[4.865, 0.000, 0.000], [0.000, 4.865, 0.000], [0.000, 0.000, 4.865]],
  "species": ["Zr", "Zr", "Zr", "V", "O"],
  "frac_coords": [[0.000, 0.000, 0.500], [0.000, 0.500, 0.000], [0.500, 0.000, 0.000], [0.000, 0.000, 0.000], [0.500, 0.500, 0.500]],
  "total_magnetization_mub_per_atom": 0.340,
  "e_tot_ev_per_atom": -6.28,
  "space_group": "No. 221",
  "density_g_cm3": 4.913,
  "vol_a3_per_atom": 23.0
}